A relaxed MgMo2Pt crystal, computed with PBE.

Structure (POSCAR):
```
MgMo2Pt
1.0
9.189 0.000 0.000
0.000 2.718 0.000
-0.482 0.000 5.160
Mg Mo Pt
2 4 2
Direct
0.000 0.000 0.000
0.500 0.500 0.000
0.242 0.000 0.724
0.478 0.000 0.499
0.742 0.500 0.724
0.978 0.500 0.499
0.246 0.500 0.211
0.746 0.000 0.211
```

Properties
Energy relative to the elements, meV/atom: -22

A relaxed DyLuGaCu crystal, computed with PBE.

Structure (POSCAR):
```
DyLuGaCu
1.0
6.993 0.000 0.000
0.000 6.993 0.000
0.000 0.000 6.993
Dy Lu Ga Cu
4 4 4 4
Direct
0.000 0.000 0.000
0.000 0.500 0.500
0.500 0.000 0.500
0.500 0.500 0.000
0.000 0.000 0.500
0.000 0.500 0.000
0.500 0.000 0.000
0.500 0.500 0.500
0.250 0.250 0.250
0.250 0.750 0.750
0.750 0.250 0.750
0.750 0.750 0.250
0.250 0.250 0.750
0.250 0.750 0.250
0.750 0.250 0.250
0.750 0.750 0.750
```

Properties
Energy relative to the elements, meV/atom: -431

A relaxed CoSN3 crystal, computed with PBE.

Structure (POSCAR):
```
CoSN3
1.0
3.659 0.000 0.000
0.000 3.659 0.000
0.000 0.000 3.659
Co S N
1 1 3
Direct
0.000 0.000 0.000
0.500 0.500 0.500
0.000 0.000 0.500
0.000 0.500 0.000
0.500 0.000 0.000
```

Properties
Energy relative to the elements, uncorrected, eV per atom: 1.93

> Which formula does entry 2 have?

DyLuGaCu